A plane-wave DFT calculation with GGA-PBE was carried out for Sm4Dy3Ir4 after structural relaxation.

Cell and atoms, written as CIF:
```
data_Sm4Dy3Ir4
_symmetry_space_group_name_H-M 'P 1'
_symmetry_Int_Tables_number 1
_cell_length_a 9.468
_cell_length_b 9.468
_cell_length_c 9.468
_cell_angle_alpha 156.72
_cell_angle_beta 125.14
_cell_angle_gamma 60.38
loop_
_symmetry_equiv_pos_as_xyz
'x,y,z'
loop_
_atom_site_label
_atom_site_fract_x
_atom_site_fract_y
_atom_site_fract_z
_atom_site_occupancy
Sm1 0.023 0.834 0.189 1
Sm2 0.354 0.166 0.189 1
Sm3 0.646 0.834 0.811 1
Sm4 0.977 0.166 0.811 1
Dy1 0.000 0.500 0.500 1
Dy2 0.402 0.402 0.000 1
Dy3 0.598 0.598 0.000 1
Ir1 0.258 0.758 0.500 1
Ir2 0.284 0.000 0.284 1
Ir3 0.716 0.000 0.716 1
Ir4 0.742 0.242 0.500 1
```

Summary:
E_form, meV/atom: -569
Symmetry: Immm



A plane-wave DFT calculation with GGA-PBE was carried out for CaBi2I2 after structural relaxation.

Cell and atoms, written as CIF:
```
data_CaBi2I2
_symmetry_space_group_name_H-M 'P 1'
_symmetry_Int_Tables_number 1
_cell_length_a 7.825
_cell_length_b 7.825
_cell_length_c 7.825
_cell_angle_alpha 138.15
_cell_angle_beta 138.15
_cell_angle_gamma 60.67
loop_
_symmetry_equiv_pos_as_xyz
'x,y,z'
loop_
_atom_site_label
_atom_site_fract_x
_atom_site_fract_y
_atom_site_fract_z
_atom_site_occupancy
Ca1 0.000 0.000 0.000 1
Bi1 0.395 0.395 0.000 1
Bi2 0.605 0.605 0.000 1
I1 0.250 0.750 0.500 1
I2 0.750 0.250 0.500 1
```

Summary:
Excess energy over the best structure of this formula in the dataset, meV per atom: 270
Symmetry: I4/mmm
Energy relative to the elements, uncorrected, eV/atom: -0.097



A plane-wave DFT calculation with GGA-PBE was carried out for Li2CaMn after structural relaxation.

Cell and atoms, written as CIF:
```
data_Li2CaMn
_symmetry_space_group_name_H-M 'P 1'
_symmetry_Int_Tables_number 1
_cell_length_a 3.559
_cell_length_b 3.481
_cell_length_c 7.299
_cell_angle_alpha 90.00
_cell_angle_beta 90.11
_cell_angle_gamma 90.00
loop_
_symmetry_equiv_pos_as_xyz
'x,y,z'
loop_
_atom_site_label
_atom_site_fract_x
_atom_site_fract_y
_atom_site_fract_z
_atom_site_occupancy
Li1 0.000 0.000 0.000 1
Li2 0.499 0.500 0.209 1
Ca1 0.999 0.000 0.537 1
Mn1 0.500 0.500 0.817 1
```

Summary:
E_form, meV/atom: 298
Excess energy over the best structure of this formula in the dataset, meV per atom: 0
Symmetry: Pm



A plane-wave DFT calculation with GGA-PBE was carried out for MnCdCl6 after structural relaxation.

Cell and atoms, written as CIF:
```
data_MnCdCl6
_symmetry_space_group_name_H-M 'P 1'
_symmetry_Int_Tables_number 1
_cell_length_a 7.691
_cell_length_b 7.691
_cell_length_c 7.691
_cell_angle_alpha 112.46
_cell_angle_beta 112.46
_cell_angle_gamma 112.46
loop_
_symmetry_equiv_pos_as_xyz
'x,y,z'
loop_
_atom_site_label
_atom_site_fract_x
_atom_site_fract_y
_atom_site_fract_z
_atom_site_occupancy
Mn1 0.000 0.000 0.000 1
Cd1 0.500 0.500 0.500 1
Cl1 0.123 0.123 0.376 1
Cl2 0.123 0.376 0.123 1
Cl3 0.376 0.123 0.123 1
Cl4 0.624 0.877 0.877 1
Cl5 0.877 0.624 0.877 1
Cl6 0.877 0.877 0.624 1
```

Summary:
Excess energy over the best structure of this formula in the dataset, meV per atom: 0
Symmetry: R-3m
Energy relative to the elements, uncorrected, eV/atom: -0.882



Calculated V (Å³/atom), listed in the same order as above: 24.79 42.20 22.61 38.18